TaGaTc2: relaxed, GGA-PBE.

Cell lengths 4.3696, 4.3696, 3.2091 Å; angles 90.00, 90.00, 90.00 degrees
Closest atoms and distances in Å follow each position.
Fractional positions:
Ta1 0.0000 0.0000 0.0000  8 Tc 2.71
Ga1 0.5000 0.5000 0.0000  8 Tc 2.71
Tc1 0.0000 0.5000 0.5000  4 Ta 2.71, 4 Ga 2.71
Tc2 0.5000 0.0000 0.5000  4 Ta 2.71, 4 Ga 2.71

Computed properties:
- Space-group type: P4/mmm (123)
- Size of the total moment: 0.00 μB/f.u.
- Mass density: 12.11 Mg/m³
- Final energy: -36.7 eV for the cell shown

=====

TaGa2Tc2: relaxed, GGA-PBE.

Cell lengths 4.2604, 4.2604, 9.5051 Å; angles 90.00, 90.00, 90.00 degrees
Closest atoms and distances in Å follow each position.
Fractional positions:
Ta1 0.0000 0.0000 0.0000  8 Ga 3.19, 8 Tc 3.21
Ta2 0.5000 0.5000 0.5000  8 Ga 3.19, 8 Tc 3.21
Ga1 0.0000 0.5000 0.2500  4 Tc 2.48
Ga2 0.0000 0.5000 0.7500  4 Tc 2.48
Ga3 0.5000 0.0000 0.2500  4 Tc 2.48
Ga4 0.5000 0.0000 0.7500  4 Tc 2.48
Tc1 0.0000 0.0000 0.3841  1 Tc 2.20
Tc2 0.0000 0.0000 0.6159  1 Tc 2.20
Tc3 0.5000 0.5000 0.1159  1 Tc 2.20
Tc4 0.5000 0.5000 0.8841  1 Tc 2.20

Computed properties:
- Space-group type: I4/mmm (139)
- Size of the total moment: 0.00 μB/f.u.
- Energy relative to the lowest polymorph listed for this composition: 0.608 eV per atom
- Mass density: 9.94 Mg/m³

=====

TaTiGa2Tc: relaxed, GGA-PBE.

Cell lengths 4.6931, 4.6931, 4.8277 Å; angles 90.00, 90.00, 90.00 degrees
Closest atoms and distances in Å follow each position.
Fractional positions:
Ta1 0.0000 0.0000 0.0000  2 Tc 2.41
Ti1 0.5000 0.5000 0.0000  4 Ta 3.32, 8 Ga 3.37
Ga1 0.0000 0.5000 0.5000  2 Tc 2.35
Ga2 0.5000 0.0000 0.5000  2 Tc 2.35
Tc1 0.0000 0.0000 0.5000  4 Ga 2.35, 2 Ta 2.41

Computed properties:
- Space-group type: P4/mmm (123)
- Size of the total moment: 1.03 μB/f.u.
- Mass density: 7.28 Mg/m³
- Final energy: -32.7 eV for the cell shown

=====

TaTiGaTc: relaxed, GGA-PBE.

Cell lengths 6.3199, 6.3199, 6.3199 Å; angles 90.00, 90.00, 90.00 degrees
Closest atoms and distances in Å follow each position.
Fractional positions:
Ta1 0.0000 0.0000 0.0000  4 Tc 2.74, 4 Ti 2.74
Ta2 0.0000 0.5000 0.5000  4 Tc 2.74, 4 Ti 2.74
Ta3 0.5000 0.0000 0.5000  4 Tc 2.74, 4 Ti 2.74
Ta4 0.5000 0.5000 0.0000  4 Tc 2.74, 4 Ti 2.74
Ti1 0.2500 0.2500 0.7500  4 Ta 2.74, 4 Ga 2.74
Ti2 0.2500 0.7500 0.2500  4 Ta 2.74, 4 Ga 2.74
Ti3 0.7500 0.2500 0.2500  4 Ta 2.74, 4 Ga 2.74
Ti4 0.7500 0.7500 0.7500  4 Ta 2.74, 4 Ga 2.74
Ga1 0.0000 0.0000 0.5000  4 Tc 2.74, 4 Ti 2.74
Ga2 0.0000 0.5000 0.0000  4 Tc 2.74, 4 Ti 2.74
Ga3 0.5000 0.0000 0.0000  4 Tc 2.74, 4 Ti 2.74
Ga4 0.5000 0.5000 0.5000  4 Tc 2.74, 4 Ti 2.74
Tc1 0.2500 0.2500 0.2500  4 Ga 2.74, 4 Ta 2.74
Tc2 0.2500 0.7500 0.7500  4 Ga 2.74, 4 Ta 2.74
Tc3 0.7500 0.2500 0.7500  4 Ga 2.74, 4 Ta 2.74
Tc4 0.7500 0.7500 0.2500  4 Ta 2.74, 4 Ga 2.74

Computed properties:
- Space-group type: F-43m (216)
- Size of the total moment: 0.40 μB/f.u.
- Mass density: 10.43 Mg/m³
- Final energy: -137.2 eV for the cell shown

=====

TaTl2GaTc: relaxed, GGA-PBE.

Cell lengths 5.0430, 5.0430, 4.9900 Å; angles 90.00, 90.00, 90.00 degrees
Closest atoms and distances in Å follow each position.
Fractional positions:
Ta1 0.0000 0.0000 0.0000  2 Ga 2.50
Tl1 0.0000 0.5000 0.5000  2 Ga 2.52
Tl2 0.5000 0.0000 0.5000  2 Ga 2.52
Ga1 0.0000 0.0000 0.5000  2 Ta 2.50, 4 Tl 2.52
Tc1 0.5000 0.5000 0.0000  8 Tl 3.55, 4 Ta 3.57

Computed properties:
- Space-group type: P4/mmm (123)
- Size of the total moment: 2.64 μB/f.u.
- Mass density: 9.91 Mg/m³
- Final energy: -21.9 eV for the cell shown

=====

Ta2GaTe: relaxed, GGA-PBE.

Cell lengths 4.0976, 4.0976, 19.6459 Å; angles 90.00, 90.00, 90.00 degrees
Closest atoms and distances in Å follow each position.
Fractional positions:
Ta1 0.2342 0.2500 0.1250  4 Ta 2.81-2.99, 2 Ga 2.83, 2 Te 2.88
Ta2 0.2500 0.7342 0.3750  4 Ta 2.81-2.99, 2 Ga 2.83, 2 Te 2.88
Ta3 0.2500 0.7658 0.8750  4 Ta 2.81-2.99, 2 Ga 2.83, 2 Te 2.88
Ta4 0.2658 0.2500 0.6250  4 Ta 2.81-2.99, 2 Ga 2.83, 2 Te 2.88
Ta5 0.7342 0.7500 0.6250  4 Ta 2.81-2.99, 2 Ga 2.83, 2 Te 2.88
Ta6 0.7500 0.2342 0.8750  4 Ta 2.81-2.99, 2 Ga 2.83, 2 Te 2.88
Ta7 0.7500 0.2658 0.3750  4 Ta 2.81-2.99, 2 Ga 2.83, 2 Te 2.88
Ta8 0.7658 0.7500 0.1250  4 Ta 2.81-2.99, 2 Ga 2.83, 2 Te 2.88
Ga1 0.0000 0.0000 0.0000  4 Ta 2.83, 4 Te 2.90
Ga2 0.0000 0.5000 0.2500  4 Ta 2.83, 4 Te 2.90
Ga3 0.5000 0.0000 0.7500  4 Ta 2.83, 4 Te 2.90
Ga4 0.5000 0.5000 0.5000  4 Ta 2.83, 4 Te 2.90
Te1 0.0000 0.0000 0.5000  4 Ta 2.88, 4 Ga 2.90
Te2 0.0000 0.5000 0.7500  4 Ta 2.88, 4 Ga 2.90
Te3 0.5000 0.0000 0.2500  4 Ta 2.88, 4 Ga 2.90
Te4 0.5000 0.5000 0.0000  4 Ta 2.88, 4 Ga 2.90

Computed properties:
- Space-group type: I-42d (122)
- Size of the total moment: 0.00 μB/f.u.
- Energy relative to the lowest polymorph listed for this composition: 0.138 eV per atom
- Mass density: 11.26 Mg/m³
- Energy relative to the elements, uncorrected: 362 meV/atom

=====

TaGaTe3: relaxed, GGA-PBE.

Cell lengths 5.1909, 5.1909, 5.1909 Å; angles 90.00, 90.00, 90.00 degrees
Closest atoms and distances in Å follow each position.
Fractional positions:
Ta1 0.0000 0.0000 0.0000  12 Te 3.67
Ga1 0.5000 0.5000 0.5000  6 Te 2.60
Te1 0.0000 0.5000 0.5000  2 Ga 2.60
Te2 0.5000 0.0000 0.5000  2 Ga 2.60
Te3 0.5000 0.5000 0.0000  2 Ga 2.60

Computed properties:
- Space-group type: Pm-3m (221)
- Size of the total moment: 0.00 μB/f.u.
- Energy relative to the lowest polymorph listed for this composition: 1.081 eV per atom
- Mass density: 7.52 Mg/m³
- Energy relative to the elements, uncorrected: 1071 meV/atom

=====

TaGaTe2: relaxed, GGA-PBE.

Cell lengths 6.9782, 6.9782, 11.8898 Å; angles 90.00, 90.00, 90.00 degrees
Closest atoms and distances in Å follow each position.
Fractional positions:
Ta1 0.0000 0.0000 0.0000  4 Te 2.71
Ta2 0.0000 0.5000 0.2500  4 Te 2.71
Ta3 0.5000 0.0000 0.7500  4 Te 2.71
Ta4 0.5000 0.5000 0.5000  4 Te 2.71
Ga1 0.0000 0.0000 0.5000  4 Te 3.07
Ga2 0.0000 0.5000 0.7500  4 Te 3.07
Ga3 0.5000 0.0000 0.2500  4 Te 3.07
Ga4 0.5000 0.5000 0.0000  4 Te 3.07
Te1 0.2082 0.2500 0.1250  2 Ta 2.71
Te2 0.2500 0.7082 0.3750  2 Ta 2.71
Te3 0.2500 0.7918 0.8750  2 Ta 2.71
Te4 0.2918 0.2500 0.6250  2 Ta 2.71
Te5 0.7082 0.7500 0.6250  2 Ta 2.71
Te6 0.7500 0.2082 0.8750  2 Ta 2.71
Te7 0.7500 0.2918 0.3750  2 Ta 2.71
Te8 0.7918 0.7500 0.1250  2 Ta 2.71

Computed properties:
- Space-group type: I-42d (122)
- Size of the total moment: 1.97 μB/f.u.
- Mass density: 5.80 Mg/m³
- Energy relative to the elements, uncorrected: 297 meV/atom

=====

TaGa2Te6: relaxed, GGA-PBE.

Cell lengths 8.9921, 8.9921, 7.4855 Å; angles 95.72, 95.72, 83.67 degrees
Closest atoms and distances in Å follow each position.
Fractional positions:
Ta1 0.1105 0.8895 0.7500  6 Te 2.68-2.89
Ta2 0.8895 0.1105 0.2500  6 Te 2.68-2.89
Ga1 0.2421 0.3777 0.6200  4 Te 2.64-2.71
Ga2 0.3777 0.2421 0.1200  4 Te 2.64-2.71
Ga3 0.6223 0.7579 0.8800  4 Te 2.64-2.71
Ga4 0.7579 0.6223 0.3800  4 Te 2.64-2.71
Te1 0.0415 0.1704 0.5889  1 Ga 2.71, 2 Ta 2.79-2.89
Te2 0.1052 0.6057 0.8269  1 Ta 2.68, 1 Ga 2.70
Te3 0.1704 0.0415 0.0889  1 Ga 2.71, 2 Ta 2.79-2.89
Te4 0.2642 0.4844 0.3076  2 Ga 2.64-2.65
Te5 0.3943 0.8948 0.6731  1 Ta 2.68, 1 Ga 2.70
Te6 0.4844 0.2642 0.8076  2 Ga 2.64-2.65
Te7 0.5156 0.7358 0.1924  2 Ga 2.64-2.65
Te8 0.6057 0.1052 0.3269  1 Ta 2.68, 1 Ga 2.70
Te9 0.7358 0.5156 0.6924  2 Ga 2.64-2.65
Te10 0.8296 0.9585 0.9111  1 Ga 2.71, 2 Ta 2.79-2.89
Te11 0.8948 0.3943 0.1731  1 Ta 2.68, 1 Ga 2.70
Te12 0.9585 0.8296 0.4111  1 Ga 2.71, 2 Ta 2.79-2.89

Computed properties:
- Space-group type: C2/c (15)
- Size of the total moment: 0.00 μB/f.u.
- Mass density: 6.05 Mg/m³
- Energy relative to the elements, uncorrected: -182 meV/atom

=====

TaGaTe2: relaxed, GGA-PBE.

Cell lengths 3.5877, 3.5877, 30.4910 Å; angles 90.00, 90.00, 120.00 degrees
Closest atoms and distances in Å follow each position.
Fractional positions:
Ta1 0.0000 0.0000 0.0000  6 Te 2.80
Ta2 0.3333 0.6667 0.6667  6 Te 2.80
Ta3 0.6667 0.3333 0.3333  6 Te 2.80
Ga1 0.0000 0.0000 0.5000  2 Te 3.20
Ga2 0.3333 0.6667 0.1667  2 Te 3.20
Ga3 0.6667 0.3333 0.8333  2 Te 3.20
Te1 0.0000 0.0000 0.3950  3 Ta 2.80
Te2 0.0000 0.0000 0.6050  3 Ta 2.80
Te3 0.3333 0.6667 0.0617  3 Ta 2.80
Te4 0.3333 0.6667 0.2717  3 Ta 2.80
Te5 0.6667 0.3333 0.7283  3 Ta 2.80
Te6 0.6667 0.3333 0.9383  3 Ta 2.80

Computed properties:
- Space-group type: R-3m (166)
- Size of the total moment: 0.00 μB/f.u.
- Mass density: 7.41 Mg/m³
- Energy relative to the elements, uncorrected: -80 meV/atom

=====

Ta2GaTe: relaxed, GGA-PBE.

Cell lengths 6.6538, 6.6538, 6.6538 Å; angles 90.00, 90.00, 90.00 degrees
Closest atoms and distances in Å follow each position.
Fractional positions:
Ta1 0.2500 0.2500 0.2500  4 Te 2.88, 4 Ga 2.88
Ta2 0.2500 0.2500 0.7500  4 Te 2.88, 4 Ga 2.88
Ta3 0.2500 0.7500 0.2500  4 Te 2.88, 4 Ga 2.88
Ta4 0.2500 0.7500 0.7500  4 Te 2.88, 4 Ga 2.88
Ta5 0.7500 0.2500 0.2500  4 Te 2.88, 4 Ga 2.88
Ta6 0.7500 0.2500 0.7500  4 Te 2.88, 4 Ga 2.88
Ta7 0.7500 0.7500 0.2500  4 Te 2.88, 4 Ga 2.88
Ta8 0.7500 0.7500 0.7500  4 Te 2.88, 4 Ga 2.88
Ga1 0.0000 0.0000 0.0000  8 Ta 2.88
Ga2 0.0000 0.5000 0.5000  8 Ta 2.88
Ga3 0.5000 0.0000 0.5000  8 Ta 2.88
Ga4 0.5000 0.5000 0.0000  8 Ta 2.88
Te1 0.0000 0.0000 0.5000  8 Ta 2.88
Te2 0.0000 0.5000 0.0000  8 Ta 2.88
Te3 0.5000 0.0000 0.0000  8 Ta 2.88
Te4 0.5000 0.5000 0.5000  8 Ta 2.88

Computed properties:
- Space-group type: Fm-3m (225)
- Size of the total moment: 0.00 μB/f.u.
- Energy relative to the lowest polymorph listed for this composition: 0.000 eV per atom
- Mass density: 12.61 Mg/m³
- Energy relative to the elements, uncorrected: 224 meV/atom

=====

Ta4GaTe8: relaxed, GGA-PBE.

Cell lengths 9.2107, 9.2107, 9.2107 Å; angles 47.39, 47.39, 47.39 degrees
Closest atoms and distances in Å follow each position.
Fractional positions:
Ta1 0.0000 0.0000 0.0000  6 Te 2.81
Ta2 0.0000 0.5000 0.5000  6 Te 2.81-2.82
Ta3 0.5000 0.0000 0.5000  6 Te 2.81-2.82
Ta4 0.5000 0.5000 0.0000  6 Te 2.81-2.82
Ga1 0.5000 0.5000 0.5000  6 Te 3.10
Te1 0.2412 0.2412 0.7420  3 Ta 2.81-2.82, 1 Ga 3.10
Te2 0.2412 0.7420 0.2412  3 Ta 2.81-2.82, 1 Ga 3.10
Te3 0.2580 0.7588 0.7588  3 Ta 2.81-2.82, 1 Ga 3.10
Te4 0.2586 0.2586 0.2586  3 Ta 2.81
Te5 0.7414 0.7414 0.7414  3 Ta 2.81
Te6 0.7420 0.2412 0.2412  3 Ta 2.81-2.82, 1 Ga 3.10
Te7 0.7588 0.2580 0.7588  3 Ta 2.81-2.82, 1 Ga 3.10
Te8 0.7588 0.7588 0.2580  3 Ta 2.81-2.82, 1 Ga 3.10

Computed properties:
- Space-group type: R-3m (166)
- Size of the total moment: 0.00 μB/f.u.
- Mass density: 7.78 Mg/m³
- Energy relative to the elements, uncorrected: -253 meV/atom